Entry from Alexandria: a relaxed Sr3HgH crystal (PBE).

POSCAR file:
```
Sr3HgH
1.0
8.579 0.000 0.000
0.000 4.313 0.000
-1.955 0.000 8.966
Sr Hg H
6 2 2
Direct
0.060 0.250 0.334
0.270 0.250 0.970
0.384 0.750 0.632
0.616 0.250 0.368
0.730 0.750 0.030
0.940 0.750 0.666
0.322 0.750 0.249
0.678 0.250 0.751
0.142 0.250 0.634
0.858 0.750 0.366
```

Calculated values
Symmetry: P2_1/m
Energy relative to the lowest polymorph listed for this composition in eV/f.u.: 0.33

Entry from Alexandria: a relaxed CePr2Hg4 crystal (PBE).

POSCAR file:
```
CePr2Hg4
1.0
-2.749 2.749 7.008
2.749 -2.749 7.008
2.749 2.749 -7.008
Ce Pr Hg
1 2 4
Direct
0.000 0.000 0.000
0.272 0.272 0.000
0.728 0.728 0.000
0.113 0.613 0.500
0.387 0.887 0.500
0.613 0.113 0.500
0.887 0.387 0.500
```

Calculated values
Symmetry: I4/mmm
Energy relative to the lowest polymorph listed for this composition in eV/f.u.: 0.00
DFT formation energy in eV/atom: -0.3035

Entry from Alexandria: a relaxed NaCa2TiN crystal (PBE).

POSCAR file:
```
NaCa2TiN
1.0
5.402 0.000 0.000
0.000 5.402 0.000
0.000 0.000 4.025
Na Ca Ti N
1 2 1 1
Direct
0.000 0.000 0.000
0.000 0.500 0.500
0.500 0.000 0.500
0.500 0.500 0.000
0.500 0.500 0.500
```

Calculated values
Symmetry: P4/mmm
Raw formation energy in eV per atom: -0.2795

Entry from Alexandria: a relaxed RbSnI4 crystal (PBE).

POSCAR file:
```
RbSnI4
1.0
8.439 -3.796 0.000
8.439 3.796 0.000
-2.133 0.000 8.367
Rb Sn I
2 2 8
Direct
0.150 0.850 0.750
0.850 0.150 0.250
0.000 0.500 0.000
0.500 0.000 0.500
0.112 0.257 0.661
0.257 0.112 0.161
0.320 0.507 0.031
0.493 0.680 0.469
0.507 0.320 0.531
0.680 0.493 0.969
0.743 0.888 0.839
0.888 0.743 0.339
```

Calculated values
Symmetry: C2/c
Raw formation energy in eV per atom: -0.7237
Energy relative to the lowest polymorph listed for this composition in eV/f.u.: 0.08

Entry from Alexandria: a relaxed TbPmTm crystal (PBE).

POSCAR file:
```
TbPmTm
1.0
4.852 0.000 0.000
0.000 4.852 0.000
0.000 0.000 8.615
Tb Pm Tm
2 2 2
Direct
0.250 0.250 0.196
0.750 0.750 0.804
0.250 0.750 0.500
0.750 0.250 0.500
0.250 0.250 0.799
0.750 0.750 0.201
```

Calculated values
Symmetry: P4/nmm
Energy relative to the lowest polymorph listed for this composition in eV/f.u.: 0.66
DFT formation energy in eV/atom: 0.2381

Entry from Alexandria: a relaxed Li2TiI4 crystal (PBE).

POSCAR file:
```
Li2TiI4
1.0
-3.270 3.270 6.320
3.270 -3.270 6.320
3.270 3.270 -6.320
Li Ti I
2 1 4
Direct
0.250 0.750 0.500
0.750 0.250 0.500
0.000 0.000 0.000
0.122 0.628 0.000
0.372 0.372 0.494
0.628 0.122 0.000
0.878 0.878 0.506
```

Calculated values
Symmetry: I-42m
Raw formation energy in eV per atom: -0.8674

Entry from Alexandria: a relaxed ErMnCuGe2 crystal (PBE).

POSCAR file:
```
ErMnCuGe2
1.0
-2.014 2.014 5.307
2.014 -2.014 5.307
2.014 2.014 -5.307
Er Mn Cu Ge
1 1 1 2
Direct
0.000 0.000 0.000
0.750 0.250 0.500
0.250 0.750 0.500
0.383 0.383 0.000
0.617 0.617 0.000
```

Calculated values
Symmetry: I-4m2
DFT formation energy in eV/atom: -0.4355

Entry from Alexandria: a relaxed VCo2I crystal (PBE).

POSCAR file:
```
VCo2I
1.0
0.000 3.064 3.064
3.064 0.000 3.064
3.064 3.064 0.000
V Co I
1 2 1
Direct
0.000 0.000 0.000
0.250 0.250 0.250
0.750 0.750 0.750
0.500 0.500 0.500
```

Calculated values
Symmetry: Fm-3m
Raw formation energy in eV per atom: 0.8020
Energy relative to the lowest polymorph listed for this composition in eV/f.u.: 0.00

Entry from Alexandria: a relaxed Ce6Se5O crystal (PBE).

POSCAR file:
```
Ce6Se5O
1.0
3.555 -6.141 0.000
3.555 6.141 0.000
-2.382 0.000 6.684
Ce Se O
6 5 1
Direct
0.074 0.379 0.727
0.226 0.226 0.259
0.379 0.074 0.727
0.621 0.926 0.273
0.774 0.774 0.741
0.926 0.621 0.273
0.180 0.820 0.000
0.336 0.664 0.500
0.500 0.500 0.000
0.664 0.336 0.500
0.820 0.180 0.000
0.000 0.000 0.500
```

Calculated values
Symmetry: C2/m
Raw formation energy in eV per atom: -1.8964

Entry from Alexandria: a relaxed SrAc2Tb crystal (PBE).

POSCAR file:
```
SrAc2Tb
1.0
5.625 0.000 0.000
0.000 5.625 0.000
0.000 0.000 5.370
Sr Ac Tb
1 2 1
Direct
0.000 0.000 0.000
0.000 0.500 0.500
0.500 0.000 0.500
0.500 0.500 0.000
```

Calculated values
Symmetry: P4/mmm
Energy relative to the lowest polymorph listed for this composition in eV/f.u.: 0.27
DFT formation energy in eV/atom: 0.1318

Entry from Alexandria: a relaxed Mg2IrCl crystal (PBE).

POSCAR file:
```
Mg2IrCl
1.0
3.256 0.000 0.000
0.000 3.135 0.000
-0.008 0.000 7.260
Mg Ir Cl
2 1 1
Direct
0.001 0.000 0.209
0.999 0.000 0.791
0.500 0.500 0.000
0.000 0.500 0.500
```

Calculated values
Symmetry: P2/m
Raw formation energy in eV per atom: -0.7410
Energy relative to the lowest polymorph listed for this composition in eV/f.u.: 0.00

no.,total energy (eV per atom)
1,-2.046
2,-2.689
3,-4.588
4,-2.586
5,-4.379
6,-3.428
7,-5.848
8,-5.418
9,-6.728
10,-3.500
11,-4.215